Density functional theory data (PBE-GGA) for an optimized crystal structure of AcCeS3.

Geometry as extended XYZ:
```
10
Lattice="4.205 -0.001 0.000 0.002 6.862 0.000 0.000 0.000 9.033" Properties=species:S:1:pos:R:3 pbc="T T T"
S 3.155 3.547 6.002
Ac 1.052 5.146 7.692
S 1.052 3.314 3.031
Ac 3.154 1.715 1.341
S 1.051 0.116 3.031
S 3.155 5.145 0.687
Ce 1.052 1.715 5.414
Ce 3.155 5.145 3.619
S 1.052 1.715 8.346
S 3.155 6.744 6.002
```

Summary:
Formation energy (no corrections) (eV per atom): -2.067
E above lowest polymorph (meV/atom): 26

***

Density functional theory data (PBE-GGA) for an optimized crystal structure of Zr3VBi.

Geometry as extended XYZ:
```
5
Lattice="5.377 0.000 0.000 0.000 5.377 0.000 0.000 0.000 5.377" Properties=species:S:1:pos:R:3 pbc="T T T"
Zr 0.000 0.000 2.689
Zr 0.000 2.689 0.000
V 2.689 2.689 2.689
Bi 0.000 0.000 0.000
Zr 2.689 0.000 0.000
```

Summary:
Formation energy (kJ per mole of atoms): 131.1
E above lowest polymorph (meV/atom): 936

***

Density functional theory data (PBE-GGA) for an optimized crystal structure of Pr2YTm.

Geometry as extended XYZ:
```
4
Lattice="3.651 0.000 0.000 0.000 3.651 0.000 0.000 0.000 10.088" Properties=species:S:1:pos:R:3 pbc="T T T"
Pr 0.000 0.000 7.599
Tm 1.825 1.825 0.000
Y 1.825 1.825 5.044
Pr 0.000 0.000 2.489
```

Summary:
Formation energy (kJ per mole of atoms): 2.0
E above lowest polymorph (meV/atom): 4

***

Density functional theory data (PBE-GGA) for an optimized crystal structure of BaLiBF6.

Geometry as extended XYZ:
```
9
Lattice="-4.200 0.273 -2.793 0.242 -0.653 -5.003 -0.780 -5.277 0.653" Properties=species:S:1:pos:R:3 pbc="T T T"
B -1.709 -2.765 -2.272
F -2.912 -3.648 -2.972
F -2.709 -1.581 -1.720
F -0.410 -1.915 -1.723
F -2.001 -3.518 -0.836
Li -3.028 -2.892 -4.869
F -1.598 -1.987 -3.720
F -0.628 -3.941 -2.662
Ba -4.738 -5.657 -7.141
```

Summary:
Formation energy (no corrections) (eV per atom): -2.929

***

Density functional theory data (PBE-GGA) for an optimized crystal structure of Zr2TcMo.

Geometry as extended XYZ:
```
4
Lattice="3.186 0.000 0.000 0.000 3.186 0.000 0.000 0.000 7.394" Properties=species:S:1:pos:R:3 pbc="T T T"
Tc 1.593 1.593 5.357
Zr 1.593 1.593 2.005
Mo 0.000 0.000 3.932
Zr 0.000 0.000 7.191
```

Summary:
Formation energy (kJ per mole of atoms): -7.9

***

Density functional theory data (PBE-GGA) for an optimized crystal structure of KHfGe2.

Geometry as extended XYZ:
```
8
Lattice="5.756 0.000 0.000 0.000 5.756 0.000 2.878 2.878 8.626" Properties=species:S:1:pos:R:3 pbc="T T T"
K 2.878 2.878 0.000
K 2.878 5.756 4.313
Ge 4.317 3.258 6.469
Ge 5.375 1.439 2.156
Ge 7.195 2.498 6.469
Hf 5.756 2.878 4.313
Hf 0.000 0.000 0.000
Ge 6.136 4.317 2.156
```

Summary:
Formation energy (kJ per mole of atoms): 24.1
E above lowest polymorph (meV/atom): 0

***

Density functional theory data (PBE-GGA) for an optimized crystal structure of Pm4Cu2Ge5.

Geometry as extended XYZ:
```
11
Lattice="-3.181 2.090 1.854 -4.683 -4.575 -2.878 0.503 -4.946 6.437" Properties=species:S:1:pos:R:3 pbc="T T T"
Ge -1.631 -5.087 2.935
Cu -0.069 -3.457 3.778
Ge -3.738 -8.414 3.071
Pm -2.650 -1.981 2.519
Cu -4.111 -6.064 -0.219
Pm -2.234 -4.299 5.845
Pm -4.711 -5.450 2.894
Ge -0.443 -1.106 0.488
Ge -2.550 -4.434 0.624
Ge -2.342 -2.287 -1.439
Pm -5.127 -3.132 -0.432
```

Summary:
Formation energy (kJ per mole of atoms): -60.6

***

Here are the calculated Fermi-level density of states numbers, same order: 12.59 8.52 6.09 0.00 3.78 4.25 6.16 (states/eV per cell).
Here are the calculated DFT total energy numbers, same order: -6.55 -6.37 -5.10 -5.35 -9.66 -4.82 -5.20 (eV/atom).
Here are the calculated M_tot numbers, same order: 1.9 2.9 0.0 0.0 0.0 0.0 0.0 (μB per cell).